[1]
The following is a PBE-GGA calculation of a relaxed structure of La4Pr2YTm2, from Alexandria.

Geometry as CIF:
```
data_La4Pr2YTm2
_chemical_formula_sum 'La8 Pr4 Y2 Tm4'
_space_group_name_H-M_alt 'C 1 2/m 1'
_space_group_IT_number 12
_cell_length_a 15.638
_cell_length_b 5.217
_cell_length_c 8.121
_cell_angle_alpha 90.00
_cell_angle_beta 108.74
_cell_angle_gamma 90.00
loop_
_space_group_symop_operation_xyz
'x,y,z'
'-x,-y,-z'
'-x,y,-z'
'x,-y,z'
'x+1/2,y+1/2,z'
'-x+1/2,-y+1/2,-z'
'-x+1/2,y+1/2,-z'
'x+1/2,-y+1/2,z'
loop_
_atom_site_label
_atom_site_type_symbol
_atom_site_fract_x
_atom_site_fract_y
_atom_site_fract_z
La1 La 0.055 0.000 0.328
La2 La 0.223 0.500 0.330
Pr1 Pr 0.113 0.500 0.670
Y1 Y 0.000 0.500 0.000
Tm1 Tm 0.168 0.000 0.000
```



[2]
The following is a PBE-GGA calculation of a relaxed structure of La2Pr3Y6Tm, from Alexandria.

Geometry as CIF:
```
data_La2Pr3Y6Tm
_chemical_formula_sum 'La4 Pr6 Y12 Tm2'
_space_group_name_H-M_alt 'C 1 2/m 1'
_space_group_IT_number 12
_cell_length_a 6.297
_cell_length_b 10.905
_cell_length_c 11.945
_cell_angle_alpha 90.00
_cell_angle_beta 100.09
_cell_angle_gamma 90.00
loop_
_space_group_symop_operation_xyz
'x,y,z'
'-x,-y,-z'
'-x,y,-z'
'x,-y,z'
'x+1/2,y+1/2,z'
'-x+1/2,-y+1/2,-z'
'-x+1/2,y+1/2,-z'
'x+1/2,-y+1/2,z'
loop_
_atom_site_label
_atom_site_type_symbol
_atom_site_fract_x
_atom_site_fract_y
_atom_site_fract_z
La1 La 0.000 0.166 0.000
Pr1 Pr 0.000 0.000 0.500
Pr2 Pr 0.000 0.333 0.500
Y1 Y 0.249 0.334 0.250
Y2 Y 0.249 0.500 0.750
Tm1 Tm 0.000 0.500 0.000
```



[3]
The following is a PBE-GGA calculation of a relaxed structure of LaPr3Y6Tm2, from Alexandria.

Geometry as CIF:
```
data_LaPr3Y6Tm2
_chemical_formula_sum 'La2 Pr6 Y12 Tm4'
_space_group_name_H-M_alt 'C 1 2/m 1'
_space_group_IT_number 12
_cell_length_a 6.256
_cell_length_b 10.833
_cell_length_c 11.926
_cell_angle_alpha 90.00
_cell_angle_beta 100.03
_cell_angle_gamma 90.00
loop_
_space_group_symop_operation_xyz
'x,y,z'
'-x,-y,-z'
'-x,y,-z'
'x,-y,z'
'x+1/2,y+1/2,z'
'-x+1/2,-y+1/2,-z'
'-x+1/2,y+1/2,-z'
'x+1/2,-y+1/2,z'
loop_
_atom_site_label
_atom_site_type_symbol
_atom_site_fract_x
_atom_site_fract_y
_atom_site_fract_z
La1 La 0.000 0.000 0.000
Pr1 Pr 0.000 0.167 0.500
Pr2 Pr 0.000 0.500 0.500
Y1 Y 0.248 0.500 0.248
Y2 Y 0.250 0.167 0.247
Tm1 Tm 0.000 0.333 0.000
```



[4]
The following is a PBE-GGA calculation of a relaxed structure of LaPr2Y2Tm, from Alexandria.

Geometry as CIF:
```
data_LaPr2Y2Tm
_chemical_formula_sum 'La2 Pr4 Y4 Tm2'
_space_group_name_H-M_alt 'P m c 21'
_space_group_IT_number 26
_cell_length_a 5.705
_cell_length_b 10.319
_cell_length_c 6.951
_cell_angle_alpha 90.00
_cell_angle_beta 90.00
_cell_angle_gamma 90.00
loop_
_space_group_symop_operation_xyz
'x,y,z'
'-x,-y,z+1/2'
'-x,y,z'
'x,-y,z+1/2'
loop_
_atom_site_label
_atom_site_type_symbol
_atom_site_fract_x
_atom_site_fract_y
_atom_site_fract_z
La1 La 0.000 0.193 0.000
Pr1 Pr 0.000 0.475 0.359
Pr2 Pr 0.500 0.298 0.615
Y1 Y 0.000 0.126 0.507
Y2 Y 0.500 0.370 0.111
Tm1 Tm 0.500 0.024 0.260
```



[5]
The following is a PBE-GGA calculation of a relaxed structure of LaPrYTm2, from Alexandria.

Geometry as CIF:
```
data_LaPrYTm2
_chemical_formula_sum 'La4 Pr4 Y4 Tm8'
_space_group_name_H-M_alt 'C m c m'
_space_group_IT_number 63
_space_group_name_Hall '-C 2c 2'
_cell_length_a 6.479
_cell_length_b 16.726
_cell_length_c 6.448
_cell_angle_alpha 90.00
_cell_angle_beta 90.00
_cell_angle_gamma 90.00
loop_
_atom_site_label
_atom_site_type_symbol
_atom_site_fract_x
_atom_site_fract_y
_atom_site_fract_z
La1 La 0.000 0.225 0.250
Pr1 Pr 0.000 0.156 0.750
Y1 Y 0.000 0.347 0.750
Tm1 Tm 0.247 0.000 0.000
```



[6]
The following is a PBE-GGA calculation of a relaxed structure of LaPrY2Tm, from Alexandria.

Geometry as CIF:
```
data_LaPrY2Tm
_chemical_formula_sum 'La2 Pr2 Y4 Tm2'
_space_group_name_H-M_alt 'P 1 2/c 1'
_space_group_IT_number 13
_cell_length_a 9.198
_cell_length_b 6.451
_cell_length_c 6.367
_cell_angle_alpha 90.00
_cell_angle_beta 109.63
_cell_angle_gamma 90.00
loop_
_space_group_symop_operation_xyz
'x,y,z'
'-x,-y,-z'
'-x,y,-z+1/2'
'x,-y,z+1/2'
loop_
_atom_site_label
_atom_site_type_symbol
_atom_site_fract_x
_atom_site_fract_y
_atom_site_fract_z
La1 La 0.000 0.000 0.000
Pr1 Pr 0.500 0.164 0.250
Y1 Y 0.316 0.331 0.660
Tm1 Tm 0.000 0.496 0.250
```



Calculated ΔE_f, 0.03 0.01 0.02 0.08 0.32 0.27 eV/atom (same order as the records).